[1]
This record from Alexandria describes a geometry-optimized NaLa2Ag2 structure. The functional is PBE-GGA. Values from VASP.

Cell and atoms, written as Quantum ESPRESSO input:
```
&SYSTEM
  ibrav = 0, nat = 5, ntyp = 3
/
ATOMIC_SPECIES
Na 22.99 Na.upf
Ag 107.87 Ag.upf
La 138.91 La.upf
CELL_PARAMETERS angstrom
-0.3392 -3.8460 -0.3338
0.7448 0.2636 -3.7939
10.7001 -2.8893 -0.0796
ATOMIC_POSITIONS angstrom
Na 0.0000 0.0000 0.0000
Ag 5.2818 -4.2633 -1.2387
Ag 5.8238 -2.2084 -2.9687
La 2.9328 -2.0768 -1.5478
La 8.1728 -4.3949 -2.6595
```

Output
Relative energy among the computed polymorphs (meV/atom): 297
Space group: No. 139
DOS at the Fermi energy (states/eV/cell): 6.4
Final energy (eV/atom): -3.228

***

[2]
This record from Alexandria describes a geometry-optimized NaLa2Ag structure. The functional is PBE-GGA. Values from VASP.

Cell and atoms, written as Quantum ESPRESSO input:
```
&SYSTEM
  ibrav = 0, nat = 4, ntyp = 3
/
ATOMIC_SPECIES
Na 22.99 Na.upf
Ag 107.87 Ag.upf
La 138.91 La.upf
CELL_PARAMETERS angstrom
4.2535 0.0000 0.0000
0.0000 5.3517 0.0000
0.0000 0.0000 5.3517
ATOMIC_POSITIONS angstrom
Na 2.1267 0.0000 0.0000
Ag 2.1267 2.6759 2.6759
La 0.0000 0.0000 2.6759
La 0.0000 2.6759 0.0000
```

Output
Relative energy among the computed polymorphs (meV/atom): 78
Space group: No. 123
DOS at the Fermi energy (states/eV/cell): 5.8
Final energy (eV/atom): -3.433

***

[3]
This record from Alexandria describes a geometry-optimized NaLa2Ag structure. The functional is PBE-GGA. Values from VASP.

Cell and atoms, written as Quantum ESPRESSO input:
```
&SYSTEM
  ibrav = 0, nat = 4, ntyp = 3
/
ATOMIC_SPECIES
Na 22.99 Na.upf
Ag 107.87 Ag.upf
La 138.91 La.upf
CELL_PARAMETERS angstrom
3.5637 0.0000 0.0000
1.7819 3.0863 0.0000
1.7819 1.0288 12.2542
ATOMIC_POSITIONS angstrom
Na 0.0000 0.0000 0.0000
Ag 3.5637 2.0575 6.1271
La 1.7819 1.0288 8.6128
La 5.3456 3.0863 3.6414
```

Output
Relative energy among the computed polymorphs (meV/atom): 128
Space group: No. 166
DOS at the Fermi energy (states/eV/cell): 4.9
Final energy (eV/atom): -3.384

***

no.,formation energy (kJ/mol of formula units)
1,71
2,28
3,47